Density functional theory data (PBE+U) for an optimized crystal structure of Sr2MnGaO5F.

```
Sr2MnGaO5F
1.0
3.888 0.000 0.000
0.000 4.023 0.000
0.000 0.000 7.769
O F Ga Mn Sr
5 1 1 1 2
direct
0.500 0.000 0.000 O
0.500 0.000 0.500 O
0.000 0.000 0.750 O
0.000 0.500 0.000 O
0.000 0.000 0.250 O
0.000 0.500 0.500 F
0.000 0.000 0.500 Ga
0.000 0.000 0.000 Mn
0.500 0.500 0.235 Sr
0.500 0.500 0.765 Sr
```

V in A^3/atom: 12.2
Uncorrected energy in eV per atom: -6.3349